# CdAgS2

A relaxed structure of CdAgS2 (PBE-GGA, Alexandria via LeMat-Bulk).

Computed properties:
Formation energy (no corrections) = -64.4 meV per atom

CIF file:
```
data_CdAgS2
_cell_length_a 7.881
_cell_length_b 7.881
_cell_length_c 7.881
_cell_angle_alpha 28.43
_cell_angle_beta 28.43
_cell_angle_gamma 28.43
_space_group_name_H-M_alt 'P 1'
_space_group_IT_number 1
loop_
_space_group_symop_operation_xyz
'x,y,z'
loop_
_atom_site_label
_atom_site_type_symbol
_atom_site_fract_x
_atom_site_fract_y
_atom_site_fract_z
S1 S 0.897 0.897 0.897
S2 S 0.103 0.103 0.103
Cd1 Cd 0.500 0.500 0.500
Ag1 Ag 0.000 0.000 0.000
```

***

# CeDy6Ho3Sc2

A relaxed structure of CeDy6Ho3Sc2 (PBE-GGA, Alexandria via LeMat-Bulk).

Computed properties:
ΔH_f (0 K) = 0.0529 eV/atom

CIF file:
```
data_CeDy6Ho3Sc2
_cell_length_a 6.043
_cell_length_b 6.043
_cell_length_c 11.581
_cell_angle_alpha 94.99
_cell_angle_beta 94.99
_cell_angle_gamma 119.98
_space_group_name_H-M_alt 'P 1'
_space_group_IT_number 1
loop_
_space_group_symop_operation_xyz
'x,y,z'
loop_
_atom_site_label
_atom_site_type_symbol
_atom_site_fract_x
_atom_site_fract_y
_atom_site_fract_z
Dy1 Dy 0.082 0.416 0.246
Dy2 Dy 0.749 0.749 0.246
Dy3 Dy 0.416 0.082 0.246
Dy4 Dy 0.918 0.584 0.754
Dy5 Dy 0.584 0.918 0.754
Dy6 Dy 0.251 0.251 0.754
Ho1 Ho 0.500 0.500 0.500
Ho2 Ho 0.168 0.832 0.500
Ho3 Ho 0.832 0.168 0.500
Sc1 Sc 0.667 0.333 0.000
Sc2 Sc 0.333 0.667 0.000
Ce1 Ce 0.000 0.000 0.000
```

***

# Dy3Ho2PuSe6

A relaxed structure of Dy3Ho2PuSe6 (PBE-GGA, Alexandria via LeMat-Bulk).

Computed properties:
Formation energy (no corrections) = -1725.2 meV per atom

CIF file:
```
data_Dy3Ho2PuSe6
_cell_length_a 4.058
_cell_length_b 8.190
_cell_length_c 9.125
_cell_angle_alpha 103.01
_cell_angle_beta 102.85
_cell_angle_gamma 90.00
_space_group_name_H-M_alt 'P 1'
_space_group_IT_number 1
loop_
_space_group_symop_operation_xyz
'x,y,z'
loop_
_atom_site_label
_atom_site_type_symbol
_atom_site_fract_x
_atom_site_fract_y
_atom_site_fract_z
Se1 Se 0.000 0.254 0.000
Se2 Se 0.669 0.086 0.338
Se3 Se 0.331 0.914 0.662
Se4 Se 0.669 0.582 0.337
Se5 Se 0.000 0.746 0.000
Se6 Se 0.331 0.418 0.663
Dy1 Dy 0.835 0.165 0.671
Dy2 Dy 0.500 0.500 0.000
Dy3 Dy 0.165 0.835 0.329
Ho1 Ho 0.164 0.328 0.327
Ho2 Ho 0.836 0.672 0.673
Pu1 Pu 0.500 0.000 0.000
```

***

M_tot values, unit Bohr magnetons per cell, following the record order: 0.00 1.16 6.03.